# 1
First-principles (PBE-GGA) data for a relaxed structure of Na6Cd12Pt, as listed in Alexandria.

a = 7.758 Å, b = 7.758 Å, c = 7.758 Å
α = 95.18°, β = 95.18°, γ = 95.18°
Fractional positions:
Cd1 0.640 0.872 0.942
Cd2 0.128 0.058 0.360
Cd3 0.872 0.942 0.640
Cd4 0.536 0.790 0.472
Cd5 0.210 0.528 0.464
Cd6 0.472 0.536 0.790
Cd7 0.790 0.472 0.536
Cd8 0.058 0.360 0.128
Cd9 0.528 0.464 0.210
Cd10 0.464 0.210 0.528
Cd11 0.360 0.128 0.058
Cd12 0.942 0.640 0.872
Na1 0.255 0.881 0.719
Na2 0.881 0.719 0.255
Na3 0.119 0.281 0.745
Na4 0.745 0.119 0.281
Na5 0.281 0.745 0.119
Na6 0.719 0.255 0.881
Pt1 0.000 0.000 0.000

## Properties
ΔH_f (0 K)	-0.1003	eV per atom
calculated density	6.06	g/cm³
magnetic moment	0.00	μB/f.u.
space group	R-3



# 2
First-principles (PBE-GGA) data for a relaxed structure of BaPuPd2, as listed in Alexandria.

a = 3.690 Å, b = 3.690 Å, c = 7.604 Å
α = 90.00°, β = 90.00°, γ = 90.00°
Site moments in Bohr magnetons follow the coordinates.
Fractional positions:
Pd1 0.000 0.000 0.802  -0.03
Pd2 0.000 0.000 0.198  -0.03
Ba1 0.500 0.500 0.500  0.03
Pu1 0.500 0.500 0.000  5.23

## Properties
ΔH_f (0 K)	-0.4174	eV per atom
calculated density	9.53	g/cm³
ΔE to the lowest computed polymorph	0.000	eV/atom
magnetic moment	5.55	μB/f.u.
space group	P4/mmm



# 3
First-principles (PBE-GGA) data for a relaxed structure of Ce3Pm5In12, as listed in Alexandria.

a = 15.750 Å, b = 15.750 Å, c = 15.750 Å
α = 109.47°, β = 109.47°, γ = 109.47°
Site moments in Bohr magnetons follow the coordinates.
Fractional positions:
In1 0.575 0.924 0.651  0.02
In2 0.273 0.849 0.924  0.02
In3 0.424 0.651 0.075  0.02
In4 0.424 0.151 0.575  0.02
In5 0.349 0.924 0.773  0.02
In6 0.773 0.349 0.924  0.02
In7 0.075 0.151 0.424  0.02
In8 0.925 0.849 0.576  0.02
In9 0.349 0.576 0.425  0.02
In10 0.075 0.924 0.151  0.02
In11 0.425 0.076 0.349  0.02
In12 0.576 0.727 0.651  0.02
In13 0.924 0.075 0.651  0.02
In14 0.651 0.575 0.924  0.02
In15 0.651 0.076 0.227  0.02
In16 0.576 0.849 0.425  0.02
In17 0.727 0.576 0.151  0.02
In18 0.924 0.349 0.273  0.02
In19 0.151 0.727 0.576  0.02
In20 0.651 0.227 0.576  0.02
In21 0.727 0.151 0.076  0.02
In22 0.424 0.273 0.349  0.02
In23 0.076 0.425 0.849  0.02
In24 0.273 0.424 0.849  0.02
In25 0.151 0.076 0.727  0.02
In26 0.425 0.349 0.576  0.02
In27 0.849 0.924 0.273  0.02
In28 0.076 0.925 0.349  0.02
In29 0.076 0.651 0.727  0.02
In30 0.227 0.576 0.651  0.02
In31 0.651 0.424 0.575  0.02
In32 0.227 0.651 0.076  0.02
In33 0.773 0.424 0.349  0.02
In34 0.849 0.576 0.925  0.02
In35 0.576 0.227 0.151  0.02
In36 0.925 0.076 0.849  0.02
In37 0.076 0.151 0.227  0.02
In38 0.575 0.651 0.424  0.02
In39 0.349 0.425 0.076  0.02
In40 0.424 0.773 0.849  0.02
In41 0.924 0.849 0.773  0.02
In42 0.849 0.273 0.424  0.02
In43 0.924 0.575 0.151  0.02
In44 0.576 0.349 0.925  0.02
In45 0.151 0.075 0.924  0.02
In46 0.151 0.424 0.075  0.02
In47 0.849 0.925 0.076  0.02
In48 0.349 0.773 0.424  0.02
Ce1 0.625 0.250 0.375  0.89
Ce2 0.125 0.875 0.750  0.89
Ce3 0.875 0.125 0.250  0.89
Ce4 0.250 0.625 0.875  0.89
Ce5 0.750 0.875 0.625  0.89
Ce6 0.250 0.125 0.375  0.89
Ce7 0.375 0.625 0.250  0.89
Ce8 0.750 0.375 0.125  0.89
Ce9 0.125 0.250 0.875  0.89
Ce10 0.625 0.375 0.750  0.89
Ce11 0.375 0.750 0.625  0.89
Ce12 0.875 0.750 0.125  0.89
Pm1 0.375 0.250 0.125  0.03
Pm2 0.375 0.125 0.750  0.03
Pm3 0.000 0.500 0.000  -0.03
Pm4 0.000 0.000 0.500  -0.03
Pm5 0.000 0.500 0.500  -0.03
Pm6 0.125 0.375 0.250  0.03
Pm7 0.625 0.875 0.250  0.03
Pm8 0.250 0.375 0.625  0.03
Pm9 0.500 0.500 0.500  -0.03
Pm10 0.625 0.750 0.875  0.03
Pm11 0.250 0.875 0.125  0.03
Pm12 0.500 0.000 0.000  -0.03
Pm13 0.500 0.000 0.500  -0.03
Pm14 0.875 0.250 0.625  0.03
Pm15 0.750 0.625 0.375  0.03
Pm16 0.500 0.500 0.000  -0.03
Pm17 0.750 0.125 0.875  0.03
Pm18 0.125 0.750 0.375  0.03
Pm19 0.000 0.000 0.000  -0.03
Pm20 0.875 0.625 0.750  0.03

## Properties
ΔH_f (0 K)	0.1779	eV per atom
calculated density	5.57	g/cm³
magnetic moment	3.76	μB/f.u.
space group	Ia-3d



# 4
First-principles (PBE-GGA) data for a relaxed structure of BaSi, as listed in Alexandria.

a = 5.089 Å, b = 7.143 Å, c = 7.478 Å
α = 90.00°, β = 109.89°, γ = 90.00°
Fractional positions:
Ba1 0.275 0.750 0.551
Ba2 0.556 0.750 0.111
Ba3 0.725 0.250 0.449
Ba4 0.444 0.250 0.889
Si1 0.080 0.078 0.160
Si2 0.920 0.922 0.840
Si3 0.080 0.422 0.160
Si4 0.920 0.578 0.840

## Properties
total energy	-4.0854	eV/atom
calculated density	4.30	g/cm³
magnetic moment	0.00	μB/f.u.
space group	Cmcm



# 5
First-principles (PBE-GGA) data for a relaxed structure of RbBPb, as listed in Alexandria.

a = 4.065 Å, b = 6.967 Å, c = 7.059 Å
α = 101.84°, β = 82.71°, γ = 90.23°
Fractional positions:
Rb1 0.057 0.191 0.283
Rb2 0.943 0.809 0.717
Pb1 0.558 0.692 0.238
Pb2 0.442 0.308 0.762
B1 0.120 0.567 0.062
B2 0.880 0.433 0.938

## Properties
ΔH_f (0 K)	0.3752	eV per atom
calculated density	5.19	g/cm³
magnetic moment	0.00	μB/f.u.
space group	P-1



# 6
First-principles (PBE-GGA) data for a relaxed structure of K3Na3VBr8, as listed in Alexandria.

a = 8.700 Å, b = 8.706 Å, c = 9.059 Å
α = 118.73°, β = 90.02°, γ = 120.01°
Site moments in Bohr magnetons follow the coordinates.
Fractional positions:
Br1 0.231 0.015 0.300  -0.01
Br2 0.785 0.570 0.300  -0.01
Br3 0.215 0.430 0.700  -0.01
Br4 0.785 0.015 0.300  -0.01
Br5 0.259 0.518 0.278  0.00
Br6 0.769 0.985 0.700  -0.01
Br7 0.215 0.985 0.700  -0.01
Br8 0.741 0.482 0.722  0.00
Na1 0.000 0.500 0.500  0.00
Na2 0.500 0.000 0.500  0.00
Na3 0.500 0.500 0.500  0.00
K1 0.500 0.500 0.000  0.00
K2 0.000 0.000 0.000  0.00
K3 0.000 0.500 0.000  0.00
V1 0.000 0.000 0.500  2.63

## Properties
total energy	-3.4530	eV/atom
calculated density	2.95	g/cm³
magnetic moment	3.00	μB/f.u.
space group	C2/m